Entry from Alexandria via LeMat-Bulk: a relaxed structure of Er5Mg2Sn4 (PBE).

Output
ΔH_f (0 K) = -0.282 eV/atom
Total energy = -4.102 eV per atom
Space group = C2/m, No. 12
N(E_F) = 10.69 states/eV/cell

Unit cell a=4.349 b=7.522 c=10.988 alpha=113.74 beta=101.41 gamma=90.00
Atoms (fractional coordinates):
Er: 0.500 0.000 0.000
Er: 0.152 0.366 0.304
Er: 0.169 0.906 0.337
Er: 0.831 0.094 0.663
Er: 0.848 0.634 0.696
Mg: 0.427 0.456 0.854
Mg: 0.573 0.544 0.146
Sn: 0.988 0.275 0.977
Sn: 0.285 0.308 0.571
Sn: 0.715 0.692 0.429
Sn: 0.012 0.725 0.023


Entry from Alexandria via LeMat-Bulk: a relaxed structure of TaAlOs (PBE).

Output
ΔH_f (0 K) = -0.086 eV/atom
Total energy = -9.027 eV per atom
Space group = Fmm2, No. 42
N(E_F) = 2.81 states/eV/cell

Unit cell a=6.969 b=6.743 c=2.807 alpha=82.75 beta=73.70 gamma=23.55
Atoms (fractional coordinates):
Al: 0.007 0.007 0.993
Ta: 0.331 0.331 0.669
Os: 0.663 0.663 0.337